## Be2BH (PBE-GGA)

Data for crystalline Be2BH at its relaxed geometry.

Results
Calculated density ... 1.63 g/cm³
Excess energy over the best structure of this formula in the dataset ... 0.085 eV per atom
Space group ... P1

a = 3.481 Å, b = 3.825 Å, c = 5.106 Å
α = 111.49°, β = 98.13°, γ = 100.13°
Fractional coordinates of all 8 atoms:
Be  0.949  0.696  0.612
B  0.531  0.935  0.679
Be  0.217  0.814  0.289
H  0.472  0.211  0.880
Be  0.799  0.123  0.094
Be  0.372  0.377  0.581
H  0.114  0.431  0.083
B  0.787  0.104  0.456